VASP calculation (PBE-GGA) on a relaxed structure of NbSNO2.

a = 3.574 Å, b = 3.574 Å, c = 4.177 Å
α = 90.00°, β = 90.00°, γ = 90.00°
Positions (direct):
Nb (0.000, 0.000, 0.000)
S (0.500, 0.500, 0.500)
N (0.500, 0.500, 0.000)
O (0.000, 0.500, 0.500)
O (0.500, 0.000, 0.500)

Properties
For the total energy, the calculation gives -6.0989 eV per atom. As for the uncorrected formation energy: 37.53 kJ per mole of atoms. The value obtained for the total moment is 1.9 μB/cell. The density of states at the Fermi level comes out at 1.95 states/eV/cell.